Ba2GeTeSe5: optimized geometry, GGA-PBE.

## Properties
* symmetry: Cmc2_1
* spin magnetization: 0.00 μB/f.u.
* uncorrected energy: -37.97 eV per formula unit
* D(E_F): 0.236 states/eV/atom

abc: 9.371 9.371 13.304
angles: 90.00 90.00 150.93
Sites, in units of the cell vectors:
Ba  0.107  0.893  0.500
Ba  0.135  0.865  0.142
Ba  0.865  0.135  0.642
Ba  0.893  0.107  0.000
Ge  0.445  0.555  0.229
Ge  0.555  0.445  0.729
Te  0.209  0.791  0.852
Te  0.791  0.209  0.352
Se  0.032  0.968  0.805
Se  0.293  0.707  0.454
Se  0.322  0.678  0.154
Se  0.352  0.648  0.822
Se  0.483  0.517  0.575
Se  0.517  0.483  0.075
Se  0.648  0.352  0.322
Se  0.678  0.322  0.654
Se  0.707  0.293  0.954
Se  0.968  0.032  0.305